U3Se2N2 | the Alexandria database | PBE | optimized geometry; SG = C2/m (12); ΔE_f (raw) = -1.27 eV per atom
1.0
-2.799 -0.525 2.509
3.911 -5.379 0.366
1.408 6.429 2.917
U Se N
3 2 2
Direct
0.000 0.000 0.000
0.818 0.635 0.379
0.182 0.365 0.621
0.571 0.143 0.793
0.429 0.857 0.207
0.797 0.593 0.677
0.203 0.407 0.323